LiSc2TlP: relaxed, PBE-GGA.

abc: 4.972 4.972 4.505
angles: 90.00 90.00 90.00
Positions (direct):
Li: 0.000 0.000 0.000
Sc: 0.000 0.500 0.500
Sc: 0.500 0.000 0.500
Tl: 0.500 0.500 0.000
P: 0.000 0.000 0.500

Results
Magnetic moment (μB per atom): 0.000
ρ (g/cm3): 5.0
Formation energy from the elements (eV/atom): -0.57
Symmetry: P4/mmm